No. 1
The following is a PBE calculation of an optimized crystal structure of GaSbAu, from Alexandria via LeMat-Bulk.

Calculated values
Its symmetry is P3m1 (156). The calculation puts the relative energy among the computed polymorphs at 0.031 eV per atom. The uncorrected formation energy comes out at -0.050 eV per atom. The total magnetization comes out at 0.00 μB per cell.

Cell lengths 3.7248, 3.7248, 5.5738 Å; angles 90.00, 90.00, 120.00 degrees
Fractional positions:
Ga 0.0000 0.0000 0.0000
Sb 0.3333 0.6667 0.6174
Au 0.6667 0.3333 0.2803



No. 2
The following is a PBE calculation of an optimized crystal structure of PmMgRu2, from Alexandria via LeMat-Bulk.

Calculated values
The value obtained for the calculated formation energy is 9 kJ/mol of atoms. Its symmetry is P4/mmm (123). The total magnetization comes out at 0.63 μB per cell.

Cell lengths 4.6147, 4.6147, 3.4511 Å; angles 90.00, 90.00, 90.00 degrees
Fractional positions:
Pm 0.0000 0.0000 0.0000
Mg 0.5000 0.5000 0.0000
Ru 0.0000 0.5000 0.5000
Ru 0.5000 0.0000 0.5000



No. 3
The following is a PBE calculation of an optimized crystal structure of Y2ScAg, from Alexandria via LeMat-Bulk.

Calculated values
The value obtained for the calculated formation energy is -5 kJ/mol of atoms. Its symmetry is Amm2 (38). The calculation puts the relative energy among the computed polymorphs at 0.068 eV per atom. The total magnetization comes out at 0.00 μB per cell.

Cell lengths 4.9027, 6.2739, 6.2739 Å; angles 33.32, 90.00, 90.00 degrees
Fractional positions:
Y 0.0000 0.0000 0.0000
Y 0.5000 0.3321 0.3321
Sc 0.0000 0.7283 0.7283
Ag 0.5000 0.5969 0.5969



No. 4
The following is a PBE calculation of an optimized crystal structure of SrNbAsSe2, from Alexandria via LeMat-Bulk.

Calculated values
Its symmetry is P4/mmm (123). The calculation puts the relative energy among the computed polymorphs at 0.000 eV per atom. The uncorrected formation energy comes out at -0.807 eV per atom. The total magnetization comes out at 0.00 μB per cell.

Cell lengths 5.1413, 5.1413, 5.0209 Å; angles 90.00, 90.00, 90.00 degrees
Fractional positions:
Sr 0.0000 0.0000 0.0000
Nb 0.5000 0.5000 0.5000
As 0.5000 0.5000 0.0000
Se 0.0000 0.5000 0.5000
Se 0.5000 0.0000 0.5000



No. 5
The following is a PBE calculation of an optimized crystal structure of SrBi3Au, from Alexandria via LeMat-Bulk.

Calculated values
The value obtained for the calculated formation energy is -34 kJ/mol of atoms. Its symmetry is Pmn2_1 (31). The calculation puts the relative energy among the computed polymorphs at 0.000 eV per atom. The total magnetization comes out at 0.00 μB per cell.

Cell lengths 6.7872, 7.1231, 6.7731 Å; angles 90.00, 90.00, 90.00 degrees
Fractional positions:
Sr 0.0000 0.2447 0.0000
Sr 0.5000 0.7553 0.5000
Bi 0.0000 0.5969 0.6365
Bi 0.2481 0.2108 0.4996
Bi 0.2519 0.7892 0.9996
Bi 0.5000 0.4031 0.1365
Bi 0.7481 0.7892 0.9996
Bi 0.7519 0.2108 0.4996
Au 0.0000 0.8955 0.3473
Au 0.5000 0.1045 0.8473



No. 6
The following is a PBE calculation of an optimized crystal structure of SiP3Pt, from Alexandria via LeMat-Bulk.

Calculated values
Its symmetry is Pm-3m (221). The calculation puts the relative energy among the computed polymorphs at 0.000 eV per atom. The uncorrected formation energy comes out at 0.823 eV per atom. The total magnetization comes out at 0.00 μB per cell.

Cell lengths 4.3895, 4.3895, 4.3895 Å; angles 90.00, 90.00, 90.00 degrees
Fractional positions:
Si 0.0000 0.0000 0.0000
P 0.0000 0.0000 0.5000
P 0.0000 0.5000 0.0000
P 0.5000 0.0000 0.0000
Pt 0.5000 0.5000 0.5000



Question: What is the total magnetization in the first record?
Answer: 0.00 μB per cell